Arrangement 1

Compound: Cu2PtRh
Source: Alexandria via LeMat-Bulk
Functional: SCAN
Structure: PBEsol geometry

a b c (Å): 4.563 4.563 4.563
angles (deg): 131.76 131.76 70.62
Fractional positions:
Cu  0.000  0.000  0.000
Cu  0.750  0.250  0.500
Pt  0.500  0.500  0.000
Rh  0.250  0.750  0.500

Properties
total moment	0.98	μB per formula unit



Arrangement 2

Compound: Cu2PtRh
Source: Alexandria via LeMat-Bulk
Functional: SCAN
Structure: PBEsol geometry

a b c (Å): 4.494 4.494 4.621
angles (deg): 99.82 99.82 34.45
Fractional positions:
Cu  0.249  0.249  0.245
Cu  0.751  0.751  0.755
Pt  0.000  0.000  0.500
Rh  0.500  0.500  0.000

Properties
total moment	0.00	μB per formula unit



Top of the stability list: arrangement 2, leading by 45 meV/atom.



Arrangement 1

Compound: CuRu2Pt
Source: Alexandria via LeMat-Bulk
Functional: SCAN
Structure: PBEsol geometry

a b c (Å): 2.671 3.868 5.171
angles (deg): 90.00 90.00 90.00
Fractional positions:
Cu  0.000  0.000  0.000
Ru  0.500  0.500  0.238
Ru  0.500  0.500  0.762
Pt  0.000  0.000  0.500

Properties
total moment	0.00	μB per formula unit



Arrangement 2

Compound: CuRu2Pt
Source: Alexandria via LeMat-Bulk
Functional: SCAN
Structure: PBEsol geometry

a b c (Å): 4.720 4.720 2.633
angles (deg): 90.00 90.00 113.65
Fractional positions:
Cu  0.000  0.000  0.000
Ru  0.000  0.500  0.500
Ru  0.500  0.000  0.500
Pt  0.500  0.500  0.000

Properties
total moment	0.00	μB per formula unit



Top of the stability list: arrangement 1, leading by 37 meV/atom.



Arrangement 1

Compound: CuRu2Pt
Source: Alexandria via LeMat-Bulk
Functional: SCAN
Structure: PBEsol geometry

a b c (Å): 8.809 8.809 8.809
angles (deg): 17.44 17.44 17.44
Fractional positions:
Cu  0.000  0.000  0.000
Ru  0.253  0.253  0.253
Ru  0.747  0.747  0.747
Pt  0.500  0.500  0.500

Properties
total moment	0.00	μB per formula unit



Arrangement 2

Compound: CuRu2Pt
Source: Alexandria via LeMat-Bulk
Functional: SCAN
Structure: PBEsol geometry

a b c (Å): 2.696 2.696 7.342
angles (deg): 90.00 90.00 90.00
Fractional positions:
Cu  0.000  0.000  0.000
Ru  0.000  0.000  0.517
Ru  0.500  0.500  0.751
Pt  0.500  0.500  0.248

Properties
total moment	0.00	μB per formula unit



Arrangement 3

Compound: CuRu2Pt
Source: Alexandria via LeMat-Bulk
Functional: SCAN
Structure: PBEsol geometry

a b c (Å): 2.669 2.669 7.475
angles (deg): 90.00 90.00 90.00
Fractional positions:
Cu  0.000  0.000  0.000
Ru  0.500  0.500  0.240
Ru  0.500  0.500  0.760
Pt  0.000  0.000  0.500

Properties
total moment	0.01	μB per formula unit



Top of the stability list: arrangement 2, leading by 189 meV/atom.